Record 1
An optimized crystal structure of KCdNiPb2, computed with PBE-GGA.

Cell: 5.2372 5.2372 5.2256 Å, 90.00 90.00 90.00°
Last column: nearest neighbours and their distance in Å.
Space group P4/mmm (No. 123)
Asymmetric unit:
K 0.0000 0.0000 0.0000 (multiplicity 1)  8 Pb 3.70, 4 Cd 3.70
Cd 0.5000 0.5000 0.0000 (multiplicity 1)  2 Ni 2.61
Ni 0.5000 0.5000 0.5000 (multiplicity 1)  2 Cd 2.61, 4 Pb 2.62
Pb 0.0000 0.5000 0.5000 (multiplicity 2)  2 Ni 2.62

Properties
ΔH_f (0 K) ... 0.026 eV per atom
V ... 28.67 Å³/atom
Mass density ... 7.24 g cm⁻³
Density of states at the Fermi level ... 3.4 states/eV/f.u.
Spin magnetization ... 0.000 μB per cell
Energy ... -3.02 eV per atom

***

Record 2
An optimized crystal structure of Li2TaSb, computed with PBE-GGA.

Cell: 3.4973 4.5947 9.6156 Å, 90.00 90.00 90.00°
Last column: nearest neighbours and their distance in Å.
Space group Cmmm (No. 65)
Asymmetric unit:
Li 0.0000 0.0000 0.2437 (multiplicity 4)  4 Li 2.89, 2 Sb 2.92, 2 Ta 3.02
Ta 0.0000 0.5000 0.5000 (multiplicity 2)  4 Ta 2.89, 4 Li 3.02
Sb 0.0000 0.5000 0.0000 (multiplicity 2)  4 Sb 2.89, 4 Li 2.92

Properties
V ... 19.31 Å³/atom
Energy relative to the elements, uncorrected ... 0.212 eV/atom
Mass density ... 6.80 g cm⁻³
Density of states at the Fermi level ... 2.8 states/eV/f.u.
Spin magnetization ... 0.000 μB per cell
Energy ... -4.74 eV per atom

***

Record 3
An optimized crystal structure of YIn2Ni, computed with PBE-GGA.

Cell: 3.3312 5.2318 10.0104 Å, 90.00 90.00 90.00°
Last column: nearest neighbours and their distance in Å.
Space group Immm (No. 71)
Asymmetric unit:
Y 0.0000 0.0000 0.0000 (multiplicity 2)  4 Ni 3.10, 2 Y 3.33, 8 In 3.34-3.36
In 0.0000 0.5000 0.2111 (multiplicity 4)  2 Ni 2.69
Ni 0.0000 0.0000 0.5000 (multiplicity 2)  4 In 2.69

Properties
ΔH_f (0 K) ... -0.213 eV per atom
V ... 21.81 Å³/atom
Mass density ... 7.18 g cm⁻³
Density of states at the Fermi level ... 2.2 states/eV/f.u.
Spin magnetization ... 0.000 μB per cell
Energy ... -4.64 eV per atom

***

Record 4
An optimized crystal structure of RbTl2Pb2Au, computed with PBE-GGA.

Cell: 5.7288 5.7288 6.6867 Å, 90.00 90.00 90.00°
Last column: nearest neighbours and their distance in Å.
Space group P4/mmm (No. 123)
Asymmetric unit:
Rb 0.0000 0.0000 0.0000 (multiplicity 1)  2 Au 3.34
Tl 0.5000 0.5000 0.2371 (multiplicity 2)  2 Tl 3.17-3.52, 4 Pb 3.36
Pb 0.0000 0.5000 0.5000 (multiplicity 2)  2 Au 2.86
Au 0.0000 0.0000 0.5000 (multiplicity 1)  4 Pb 2.86

Properties
ΔH_f (0 K) ... -0.060 eV per atom
V ... 36.58 Å³/atom
Mass density ... 8.37 g cm⁻³
Density of states at the Fermi level ... 1.9 states/eV/f.u.
Spin magnetization ... 0.000 μB per cell
Energy ... -2.79 eV per atom

***

Record 5
An optimized crystal structure of TiZn2CdBr, computed with PBE-GGA.

Cell: 4.9967 4.9967 5.6956 Å, 90.00 90.00 90.00°
Last column: nearest neighbours and their distance in Å.
Space group P4/mmm (No. 123)
Asymmetric unit:
Ti 0.0000 0.0000 0.0000 (multiplicity 1)  4 Cd 3.53, 8 Zn 3.79
Zn 0.0000 0.5000 0.5000 (multiplicity 2)  2 Br 2.50
Cd 0.5000 0.5000 0.0000 (multiplicity 1)  2 Br 2.85
Br 0.5000 0.5000 0.5000 (multiplicity 1)  4 Zn 2.50

Properties
V ... 28.44 Å³/atom
Energy relative to the elements, uncorrected ... 0.993 eV/atom
Mass density ... 4.33 g cm⁻³
Density of states at the Fermi level ... 3.7 states/eV/f.u.
Spin magnetization ... 2.886 μB per cell
Energy ... -1.61 eV per atom

***

Record 6
An optimized crystal structure of Pm2PrDy3, computed with PBE-GGA.

Cell: 9.5592 13.2633 6.4235 Å, 90.00 90.00 90.00°
Last column: nearest neighbours and their distance in Å.
Space group Cmc2_1 (No. 36)
Asymmetric unit:
Pm 0.1809 0.0586 0.0000 (multiplicity 8)  4 Dy 3.37-3.54, 3 Pm 3.46-3.57
Pr 0.0000 0.3250 0.7775 (multiplicity 4)  6 Dy 3.20-3.42
Dy 0.0000 0.4172 0.2527 (multiplicity 4)  3 Pr 3.29-3.59, 2 Pm 3.45, 2 Dy 3.68
Dy 0.1824 0.1943 0.4585 (multiplicity 8)  2 Pr 3.20-3.26, 3 Pm 3.37-3.54, 1 Dy 3.49

Properties
Relative energy among the computed polymorphs ... 91 meV per atom
ΔH_f (0 K) ... 0.211 eV per atom
V ... 33.93 Å³/atom
Mass density ... 7.49 g cm⁻³
Density of states at the Fermi level ... 9.2 states/eV/f.u.
Spin magnetization ... 0.000 μB per cell
Energy ... -4.47 eV per atom